Entry 1:
DFT (PBE-GGA) results for a geometry-optimized Be2RuPb structure.

Computed properties:
Space group: P4/mmm (123)
Energy of formation: 416 meV/atom
Energy above the lowest structure with this stoichiometry: 326 meV/atom
Theoretical density: 9.8 g/cm³

Geometry as extended XYZ:
```
4
Lattice="4.0523 0.0166 0.0018 -0.0164 4.0525 0.0018 -0.0004 -0.0004 3.3516" Properties=species:S:1:pos:R:3 pbc="T T T"
Ru -0.0084 2.0260 1.6767
Be 2.0180 2.0345 0.0018
Be 0.0000 0.0000 0.0000
Pb 2.0260 0.0081 1.6767
```

---

Entry 2:
DFT (PBE-GGA) results for a geometry-optimized Rb3YPu2S6 structure.

Computed properties:
Space group: C2/m (12)
Formation energy from raw total energies: -1.650 eV per atom
Theoretical density: 5.0 g/cm³

Geometry as extended XYZ:
```
12
Lattice="-6.2096 -1.4918 3.2035 0.4548 -0.0935 -7.1296 3.8138 -6.8935 1.5269" Properties=species:S:1:pos:R:3 pbc="T T T"
S -1.7009 -1.9151 1.1061
Rb 1.2516 -3.7731 -4.6449
S 1.5389 -6.0010 0.1805
Pu -3.9882 -1.0257 -0.2408
S -2.4546 -7.0283 -0.0719
S -3.4799 -2.4778 -2.5797
Rb -0.9705 -4.2394 -1.1996
Y 0.0000 0.0000 0.0000
S -0.2401 -6.5636 -3.5054
Pu -1.7666 -0.5596 -3.6854
S 0.5136 -1.4505 -2.3273
Rb -3.1926 -4.7056 2.2457
```

---

Entry 3:
DFT (PBE-GGA) results for a geometry-optimized TlMo2Pb structure.

Computed properties:
Space group: Fm-3m (225)
Energy of formation: 929 meV/atom
Energy above the lowest structure with this stoichiometry: 518 meV/atom
Theoretical density: 12.9 g/cm³

Geometry as extended XYZ:
```
4
Lattice="0.1162 -4.6775 -0.9946 -4.0458 -2.3206 -1.0621 -0.7856 -1.5153 -4.4686" Properties=species:S:1:pos:R:3 pbc="T T T"
Mo -3.5365 -6.3850 -4.8940
Mo -1.1788 -2.1283 -1.6313
Pb -2.3577 -4.2567 -3.2627
Tl 0.0000 0.0000 0.0000
```

---

Entry 4:
DFT (PBE-GGA) results for a geometry-optimized TbDy2Th structure.

Computed properties:
Space group: C2/c (15)
Energy of formation: 32 meV/atom
Energy above the lowest structure with this stoichiometry: 7 meV/atom
Theoretical density: 9.5 g/cm³

Geometry as extended XYZ:
```
8
Lattice="-1.2143 5.2049 4.4829 -6.0123 -1.6270 0.2604 3.8287 -5.5856 2.0948" Properties=species:S:1:pos:R:3 pbc="T T T"
Tb -1.9567 1.5376 1.7398
Th -2.5706 4.1689 4.0061
Dy -0.6539 1.3278 5.0644
Dy -3.3568 -0.7858 4.0749
Tb -5.2699 2.0402 3.0036
Dy -2.7440 -3.3355 1.7737
Dy -0.0411 -1.2219 2.7632
Th -4.6560 -0.5910 0.7373
```

---

Entry 5:
DFT (PBE-GGA) results for a geometry-optimized Y6Ho12Tm structure.

Computed properties:
Space group: R-3 (148)
Energy of formation: 179 meV/atom
Energy above the lowest structure with this stoichiometry: 0 meV/atom
Theoretical density: 7.2 g/cm³

Geometry as extended XYZ:
```
19
Lattice="-4.8755 -4.4124 -5.3977 7.1220 -3.5548 -3.0026 -0.7890 -5.9100 6.0683" Properties=species:S:1:pos:R:3 pbc="T T T"
Y 4.4397 -4.7826 -1.2016
Ho -0.4638 -8.1131 -3.0166
Y 3.1892 -8.9277 1.7341
Ho 1.9213 -5.7641 0.6847
Ho -1.4782 -5.8980 -0.6435
Y -1.0555 -6.0026 2.6236
Ho 1.3308 -5.2273 -2.8793
Ho 2.9357 -7.9792 -1.6884
Ho 0.4677 -2.9887 1.5203
Y -1.7316 -4.9495 -4.0661
Y -2.9822 -9.0946 -1.1303
Ho 1.9061 -2.3191 -1.5656
Ho 2.9878 -11.1533 -1.0276
Ho -1.5302 -2.7239 -1.3043
Ho 0.1268 -8.6499 0.5473
Y 2.5131 -7.8746 -4.9556
Ho -0.4485 -11.5581 -0.7663
Tm 0.0000 0.0000 0.0000
Ho 0.9899 -10.8885 -3.8522
```

---

Entry 6:
DFT (PBE-GGA) results for a geometry-optimized LiCa2PH structure.

Computed properties:
Space group: P4/mmm (123)
Theoretical density: 2.3 g/cm³
E: -17.640 eV/cell

Geometry as extended XYZ:
```
5
Lattice="4.6770 0.0000 0.0000 0.0000 4.6770 0.0000 0.0000 0.0000 3.9853" Properties=species:S:1:pos:R:3 pbc="T T T"
Ca 2.3385 0.0000 0.0000
Ca 0.0000 2.3385 0.0000
P 2.3385 2.3385 1.9926
Li 0.0000 0.0000 1.9926
H 0.0000 0.0000 0.0000
```

---

Entry 7:
DFT (PBE-GGA) results for a geometry-optimized KIn2P structure.

Computed properties:
Space group: C2/m (12)
Energy of formation: 197 meV/atom
Theoretical density: 4.7 g/cm³

Geometry as extended XYZ:
```
4
Lattice="6.7399 -0.0024 -0.0125 -3.4938 5.7637 -0.0125 0.7047 1.2508 2.7059" Properties=species:S:1:pos:R:3 pbc="T T T"
K 3.7223 0.6242 1.3467
P -1.3945 3.5072 1.3467
In 0.0000 0.0000 0.0000
In 1.6231 2.8806 -0.0125
```

---

Entry 8:
DFT (PBE-GGA) results for a geometry-optimized AcPm4Sm2 structure.

Computed properties:
Space group: C2/m (12)
Energy of formation: 220 meV/atom
Energy above the lowest structure with this stoichiometry: 0 meV/atom
Theoretical density: 7.2 g/cm³

Geometry as extended XYZ:
```
7
Lattice="-6.7239 -1.4670 1.1474 -2.5023 -6.4891 0.5564 9.5372 7.4722 4.6294" Properties=species:S:1:pos:R:3 pbc="T T T"
Ac 0.0000 0.0000 0.0000
Sm 4.4500 3.2869 3.8559
Pm 1.6628 1.0519 2.9387
Sm -4.1390 -3.7708 2.4774
Pm -1.3518 -1.5358 3.3945
Pm -3.3620 -0.7335 0.5737
Pm -1.2512 -3.2446 0.2782
```

---

Entry 9:
DFT (PBE-GGA) results for a geometry-optimized Cs3LiCa2F9 structure.

Computed properties:
Space group: P-3m1 (164)
Formation energy from raw total energies: -3.037 eV per atom
Theoretical density: 4.0 g/cm³

Geometry as extended XYZ:
```
15
Lattice="6.3570 0.0000 0.0000 -3.1785 5.5053 0.0000 0.0000 0.0000 7.8209" Properties=species:S:1:pos:R:3 pbc="T T T"
F 1.6273 4.6098 2.6521
F 1.5893 2.7527 0.0000
F 4.8058 0.8956 5.1688
F -1.6273 4.6098 2.6521
F 3.1785 0.0000 0.0000
F -1.5893 2.7527 0.0000
Cs 3.1785 1.8351 2.6693
Cs 0.0000 3.6702 5.1516
F 3.1785 3.7142 5.1688
F 1.5512 0.8956 5.1688
Li 0.0000 0.0000 3.9105
Cs 0.0000 0.0000 0.0000
Ca 0.0000 3.6702 1.3245
Ca 3.1785 1.8351 6.4964
F 0.0000 1.7912 2.6521
```

---

Entry 10:
DFT (PBE-GGA) results for a geometry-optimized Ir4Os5 structure.

Computed properties:
Space group: I4/mmm (139)
Energy of formation: 39 meV/atom
Energy above the lowest structure with this stoichiometry: 0 meV/atom
Theoretical density: 22.0 g/cm³

Geometry as extended XYZ:
```
9
Lattice="-2.0117 -1.3261 -3.0123 3.8616 -0.9108 -4.6476 1.8924 -4.7763 3.3087" Properties=species:S:1:pos:R:3 pbc="T T T"
Os 0.0000 0.0000 0.0000
Os -0.7123 -2.4640 -0.9094
Ir 1.1875 -4.3982 -1.3266
Os 1.2442 -1.4918 -5.1137
Ir 3.8651 -3.8202 -0.8994
Os 0.5930 -3.6384 1.2057
Ir 1.8888 -1.8669 -0.4395
Os 0.6057 -0.7451 -2.5463
Ir 2.5548 -2.6150 -3.0247
```

---

Entry 11:
DFT (PBE-GGA) results for a geometry-optimized Pd2Pt2W structure.

Computed properties:
Space group: C2/m (12)
Energy of formation: -216 meV/atom
Energy above the lowest structure with this stoichiometry: 0 meV/atom
Theoretical density: 17.0 g/cm³

Geometry as extended XYZ:
```
5
Lattice="3.7220 0.0000 1.2136 1.8023 4.4000 0.7869 0.4797 -0.1227 4.8431" Properties=species:S:1:pos:R:3 pbc="T T T"
Pd 1.2968 0.8012 2.3373
Pd 4.7073 3.4761 4.5063
W 0.0000 0.0000 0.0000
Pt 2.5799 1.6288 4.7165
Pt 3.4241 2.6486 2.1272
```

---

Entry 12:
DFT (PBE-GGA) results for a geometry-optimized GdThTc structure.

Computed properties:
Space group: F-43m (216)
Energy of formation: 28 meV/atom
Energy above the lowest structure with this stoichiometry: 81 meV/atom
Theoretical density: 9.8 g/cm³

Geometry as extended XYZ:
```
3
Lattice="-1.8483 1.8260 4.1405 2.5653 -0.2749 4.1519 1.9208 4.0458 1.9586" Properties=species:S:1:pos:R:3 pbc="T T T"
Th 1.3189 2.7985 5.1255
Tc 0.6594 1.3992 2.5627
Gd 0.0000 0.0000 0.0000
```

---

Entry 13:
DFT (PBE-GGA) results for a geometry-optimized ScTlSb2 structure.

Computed properties:
Space group: R-3m (166)
Energy above the lowest structure with this stoichiometry: 120 meV/atom
Formation energy from raw total energies: -0.242 eV per atom
Theoretical density: 7.4 g/cm³

Geometry as extended XYZ:
```
4
Lattice="11.2129 0.0537 0.0315 10.6812 3.4125 0.0315 10.6812 1.6910 2.9642" Properties=species:S:1:pos:R:3 pbc="T T T"
Tl 24.4314 3.8679 2.2704
Sb 16.6939 2.6429 1.5514
Sc 8.1438 1.2893 0.7568
Sb 32.1690 5.0929 2.9895
```

---

Entry 14:
DFT (PBE-GGA) results for a geometry-optimized TbTc2O8 structure.

Computed properties:
Space group: Fm-3m (225)
Energy above the lowest structure with this stoichiometry: 0 meV/atom
Formation energy from raw total energies: -1.886 eV per atom
Theoretical density: 3.7 g/cm³

Geometry as extended XYZ:
```
11
Lattice="-5.8883 2.6331 1.9897 -0.9282 -5.2265 4.1697 5.6493 3.6768 0.4025" Properties=species:S:1:pos:R:3 pbc="T T T"
O 1.8637 3.1993 1.2813
O -2.4969 0.8914 2.8815
Tb -3.4082 -1.2967 3.0797
O 1.3295 0.1922 3.6805
Tc -1.8236 2.5066 2.7360
O 3.2906 0.9381 1.9085
O -1.0698 -1.3696 3.5086
O -0.0973 2.4533 3.0532
O -3.0307 -2.1159 5.2806
O -4.4578 0.1452 4.6536
Tc 0.6564 -1.4232 3.8260
```

---

Entry 15:
DFT (PBE-GGA) results for a geometry-optimized CsBa6Sr2 structure.

Computed properties:
Space group: P-6m2 (187)
Energy of formation: 75 meV/atom
Theoretical density: 3.2 g/cm³

Geometry as extended XYZ:
```
9
Lattice="4.4273 0.0000 0.0000 -2.2136 3.8341 0.0000 0.0000 0.0000 34.3127" Properties=species:S:1:pos:R:3 pbc="T T T"
Sr 0.0000 2.5561 11.5154
Ba 2.2136 1.2780 7.9087
Ba 2.2136 1.2780 26.4040
Ba 0.0000 2.5561 30.0799
Ba 2.2136 1.2780 15.1081
Sr 0.0000 2.5561 22.7973
Ba 0.0000 2.5561 4.2328
Cs 2.2136 1.2780 0.0000
Ba 2.2136 1.2780 19.2047
```

---

Entry 16:
DFT (PBE-GGA) results for a geometry-optimized La6Cu2Pd structure.

Computed properties:
Space group: Immm (71)
Energy of formation: -219 meV/atom
Theoretical density: 6.8 g/cm³

Geometry as extended XYZ:
```
18
Lattice="-0.7768 -6.3681 -6.0119 4.2282 -2.9507 7.1215 -8.0046 2.6912 2.4460" Properties=species:S:1:pos:R:3 pbc="T T T"
Pd -2.6651 -6.4978 -1.2282
La -2.5585 -0.7296 1.8305
Cu -5.8279 -1.9372 1.8579
La -5.6039 0.8514 3.3437
La -0.1937 -2.9309 3.4991
La -0.5763 -3.0863 -0.3112
Pd 4.2281 -2.9507 7.1215
La -4.3596 -3.6967 0.0564
La -4.3827 -0.8549 6.4519
Cu 1.2745 -4.6904 1.6977
La -0.1707 -5.7727 -2.8964
La -3.9770 -3.5413 3.8667
La -1.9948 -5.8980 1.7251
La 1.0506 -7.4790 0.2119
Cu -3.0534 -1.2785 -1.2399
Cu -5.7281 -2.3984 -2.3260
La -3.0781 -3.6086 -3.1904
La -1.4753 -3.0190 6.7459
```

---

Entry 17:
DFT (PBE-GGA) results for a geometry-optimized Nd2Ho3S8 structure.

Computed properties:
Space group: C2/m (12)
Formation energy from raw total energies: -1.894 eV per atom
Theoretical density: 4.9 g/cm³

Geometry as extended XYZ:
```
13
Lattice="6.7349 0.0000 0.1646 0.0000 8.0185 0.0000 -2.5327 -4.0092 6.4499" Properties=species:S:1:pos:R:3 pbc="T T T"
S -1.4496 0.0000 4.9118
S 5.6519 0.0000 1.6064
S 2.1585 1.8529 1.6217
Ho 0.0000 2.1013 0.0000
Ho 3.3675 0.0000 0.0823
S 5.6518 4.0092 1.7027
S -1.4497 4.0092 5.0082
S 2.0438 -2.1564 4.9928
S 2.1585 6.1656 1.6217
S 2.0438 2.1564 4.9928
Ho 0.0000 5.9171 0.0000
Nd 3.2412 4.0092 3.1366
Nd 0.9611 0.0000 3.4779
```

---

Entry 18:
DFT (PBE-GGA) results for a geometry-optimized ZrAs2Se structure.

Computed properties:
Space group: Cm (8)
Formation energy from raw total energies: -0.439 eV per atom
Theoretical density: 5.1 g/cm³

Geometry as extended XYZ:
```
4
Lattice="-0.6766 4.8748 0.7311 -3.9768 2.9897 0.0551 -0.3645 -1.4218 5.7440" Properties=species:S:1:pos:R:3 pbc="T T T"
Se -2.0312 2.2818 3.5526
Zr -3.8393 4.7813 5.4091
As -0.6114 -0.8723 5.4166
As -1.4096 2.0513 1.1609
```

---

Entry 19:
DFT (PBE-GGA) results for a geometry-optimized La3PrSm3 structure.

Computed properties:
Space group: R-3 (148)
Energy of formation: 120 meV/atom
Energy above the lowest structure with this stoichiometry: 0 meV/atom
Theoretical density: 6.6 g/cm³

Geometry as extended XYZ:
```
14
Lattice="-5.1816 6.3260 -2.1431 -5.6828 1.3792 6.1044 1.9258 7.0066 4.3196" Properties=species:S:1:pos:R:3 pbc="T T T"
Sm -1.8542 5.0154 0.5168
Sm -1.0120 3.7022 3.7588
La -4.5323 7.3547 0.1358
Pr -3.6581 6.0207 3.3889
La -5.9098 3.7376 5.0750
La -4.4063 7.3572 8.1451
Sm -7.0844 9.6965 7.7641
La -0.5689 7.0305 4.9899
Sm -4.0884 2.7289 2.1673
Sm -4.8502 11.9830 6.1136
Pr -5.2806 8.6911 4.8920
La -8.3697 7.6813 3.2910
La -3.0288 10.9743 3.2059
Sm -7.9266 11.0096 4.5221
```

---

Entry 20:
DFT (PBE-GGA) results for a geometry-optimized TaSb3Pd structure.

Computed properties:
Space group: Pm-3m (221)
Energy above the lowest structure with this stoichiometry: 330 meV/atom
Formation energy from raw total energies: 0.964 eV per atom
Theoretical density: 8.1 g/cm³

Geometry as extended XYZ:
```
5
Lattice="-3.7350 -2.7535 -2.1704 1.8375 -4.2381 2.2146 -2.9860 0.8361 4.0777" Properties=species:S:1:pos:R:3 pbc="T T T"
Sb 0.9187 -2.1191 1.1073
Pd 0.0000 0.0000 0.0000
Ta -2.4417 -3.0777 2.0609
Sb -1.4930 0.4181 2.0388
Sb -1.8675 -1.3767 -1.0852
```